## Rb2Pu3NiO12 (PBE+U)

Data for crystalline Rb2Pu3NiO12 at its relaxed geometry.

Output
D(E_F) in states/eV/f.u.: 3.055
Uncorrected energy in hartree per atom: -0.29921
Total magnetic moment in μB per cell: 6.00
Crystal system: trigonal

POSCAR file:
```
Rb2Pu3NiO12
1.0
3.926 2.267 5.840
-3.926 2.267 5.840
0.000 -4.534 5.840
Rb Pu Ni O
2 3 1 12
Cartesian
0.000 0.000 2.215
0.000 0.000 15.306
-1.963 -1.133 5.840
-1.963 1.133 11.681
0.000 2.267 5.840
0.000 0.000 8.761
0.000 -1.758 5.382
-1.523 0.879 5.382
-1.486 -0.858 7.639
-1.523 -0.879 12.139
0.000 -1.716 9.882
-1.486 0.858 9.882
1.486 -0.858 7.639
0.000 1.716 7.639
1.523 0.879 5.382
1.486 0.858 9.882
1.523 -0.879 12.139
0.000 1.758 12.139
```

***

## PuNiRhO6 (PBE+U)

Data for crystalline PuNiRhO6 at its relaxed geometry.

Output
D(E_F) in states/eV/f.u.: 0.902
Uncorrected energy in hartree per atom: -0.27668
Total magnetic moment in μB per cell: 5.93
Crystal system: trigonal

POSCAR file:
```
PuNiRhO6
1.0
5.167 0.000 0.000
-2.583 4.474 0.000
0.000 0.000 8.914
Pu Ni Rh O
2 2 2 12
Cartesian
0.000 2.983 2.229
2.583 1.491 6.686
0.000 2.983 6.686
2.583 1.491 2.229
0.000 0.000 0.000
0.000 0.000 4.457
-0.833 1.479 1.124
-1.719 3.014 3.333
0.833 1.479 3.333
-0.886 4.456 1.124
1.697 0.018 5.581
0.864 1.460 7.790
1.719 3.014 1.124
0.886 4.456 3.333
3.470 0.018 7.790
1.751 2.996 5.581
4.302 1.460 5.581
3.416 2.996 7.790
```

***

## PuNi2SbO6 (PBE+U)

Data for crystalline PuNi2SbO6 at its relaxed geometry.

Output
D(E_F) in states/eV/f.u.: 5.976
Uncorrected energy in hartree per atom: -0.24636
Total magnetic moment in μB per cell: 4.96
Crystal system: tetragonal

POSCAR file:
```
PuNi2SbO6
1.0
5.980 0.000 0.000
0.000 5.980 0.000
0.000 0.000 4.003
Pu Ni Sb O
1 2 1 6
Cartesian
0.000 0.000 0.000
0.000 2.990 0.036
2.990 0.000 0.036
2.990 2.990 0.003
0.000 0.000 2.003
1.562 1.562 0.014
1.562 4.418 0.014
2.990 2.990 2.007
4.418 1.562 0.014
4.418 4.418 0.014
```